Entry from Alexandria via LeMat-Bulk: AcDy2Bi after structural relaxation (GGA-PBE).

Output
Formation energy from the elements = -0.209 eV per atom
DOS(E_F) = 4.00 states/eV per cell
ΔE to the lowest computed polymorph = 125 meV/atom
Space-group type = R3m

a b c (Å): 10.2041 10.2041 10.2041
angles (deg): 23.35 23.35 23.35
Atoms (fractional coordinates):
Ac (0.0000, 0.0000, 0.0000)
Dy (0.5654, 0.5654, 0.5654)
Dy (0.7664, 0.7664, 0.7664)
Bi (0.1655, 0.1655, 0.1655)

Entry from Alexandria via LeMat-Bulk: SnAsCl after structural relaxation (GGA-PBE).

Output
E_form (uncorrected) = -1.4 eV/f.u.
ΔE to the lowest computed polymorph = 0 meV/atom
Space-group type = Cm

a b c (Å): 5.8971 5.8971 8.1056
angles (deg): 104.95 104.95 42.76
Atoms (fractional coordinates):
Sn (0.0000, 0.0000, 0.0000)
Sn (0.6265, 0.6265, 0.6033)
As (0.1848, 0.1848, 0.8424)
As (0.3777, 0.3777, 0.0816)
Cl (0.1440, 0.1440, 0.3083)
Cl (0.8680, 0.8680, 0.6388)

Entry from Alexandria via LeMat-Bulk: Tb2Pm2Tc after structural relaxation (GGA-PBE).

Output
Formation energy from the elements = 0.031 eV per atom
DOS(E_F) = 11.00 states/eV per cell
Space-group type = C2/m

a b c (Å): 7.1348 7.1348 7.4238
angles (deg): 103.80 103.80 116.60
Atoms (fractional coordinates):
Tb (0.1775, 0.7261, 0.7465)
Tb (0.2739, 0.8225, 0.2535)
Tb (0.7261, 0.1775, 0.7465)
Tb (0.8225, 0.2739, 0.2535)
Pm (0.2377, 0.2377, 0.5852)
Pm (0.2737, 0.2737, 0.0945)
Pm (0.7263, 0.7263, 0.9055)
Pm (0.7623, 0.7623, 0.4148)
Tc (0.3715, 0.6285, 0.5000)
Tc (0.6285, 0.3715, 0.5000)

Entry from Alexandria via LeMat-Bulk: Tl3RuW after structural relaxation (GGA-PBE).

Output
Formation energy from the elements = 1.669 eV per atom
DOS(E_F) = 2.75 states/eV per cell
Space-group type = Pm-3m

a b c (Å): 5.3192 5.3192 5.3192
angles (deg): 90.00 90.00 90.00
Atoms (fractional coordinates):
Tl (0.0000, 0.0000, 0.5000)
Tl (0.0000, 0.5000, 0.0000)
Tl (0.5000, 0.0000, 0.0000)
Ru (0.5000, 0.5000, 0.5000)
W (0.0000, 0.0000, 0.0000)

Entry from Alexandria via LeMat-Bulk: Tb8Ru2Rh after structural relaxation (GGA-PBE).

Output
Formation energy from the elements = -0.286 eV per atom
DOS(E_F) = 9.43 states/eV per cell
ΔE to the lowest computed polymorph = 40 meV/atom
Space-group type = Cm

a b c (Å): 7.5674 7.5674 5.9519
angles (deg): 100.77 100.77 113.59
Atoms (fractional coordinates):
Tb (0.0000, 0.0000, 0.0000)
Tb (0.0220, 0.2817, 0.5976)
Tb (0.1519, 0.5763, 0.1920)
Tb (0.2817, 0.0220, 0.5976)
Tb (0.4404, 0.7003, 0.7941)
Tb (0.5763, 0.1519, 0.1920)
Tb (0.7003, 0.4404, 0.7941)
Tb (0.7216, 0.7216, 0.3787)
Ru (0.0483, 0.6660, 0.6877)
Ru (0.6660, 0.0483, 0.6877)
Rh (0.3620, 0.3620, 0.0745)

Entry from Alexandria via LeMat-Bulk: CrFePb2 after structural relaxation (GGA-PBE).

Output
Formation energy from the elements = 0.908 eV per atom
DOS(E_F) = 6.97 states/eV per cell
ΔE to the lowest computed polymorph = 448 meV/atom
Space-group type = F-43m

a b c (Å): 5.0145 5.0145 5.0145
angles (deg): 60.00 60.00 60.00
Atoms (fractional coordinates):
Cr (0.0000, 0.0000, 0.0000)
Fe (0.7500, 0.7500, 0.7500)
Pb (0.2500, 0.2500, 0.2500)
Pb (0.5000, 0.5000, 0.5000)

Entry from Alexandria via LeMat-Bulk: BSbOs2Pb after structural relaxation (GGA-PBE).

Output
DOS(E_F) = 4.28 states/eV per cell
E_form (uncorrected) = 5.0 eV/f.u.
Space-group type = P4/mmm

a b c (Å): 4.3036 4.3036 4.8843
angles (deg): 90.00 90.00 90.00
Atoms (fractional coordinates):
B (0.0000, 0.0000, 0.0000)
Sb (0.5000, 0.5000, 0.5000)
Os (0.0000, 0.5000, 0.0000)
Os (0.5000, 0.0000, 0.0000)
Pb (0.0000, 0.0000, 0.5000)

Entry from Alexandria via LeMat-Bulk: Hf2Ga2Au after structural relaxation (GGA-PBE).

Output
Formation energy from the elements = -0.490 eV per atom
DOS(E_F) = 3.05 states/eV per cell
ΔE to the lowest computed polymorph = 26 meV/atom
Space-group type = C2/m

a b c (Å): 5.5288 5.5288 9.7141
angles (deg): 114.12 114.12 44.13
Atoms (fractional coordinates):
Hf (0.0074, 0.0074, 0.1873)
Hf (0.1804, 0.1804, 0.5958)
Hf (0.8196, 0.8196, 0.4042)
Hf (0.9926, 0.9926, 0.8127)
Ga (0.3667, 0.3667, 0.9358)
Ga (0.4594, 0.4594, 0.6079)
Ga (0.5406, 0.5406, 0.3921)
Ga (0.6333, 0.6333, 0.0642)
Au (0.2859, 0.2859, 0.1626)
Au (0.7141, 0.7141, 0.8374)

| no. | M_tot (μB/f.u.) |
| --- | --- |
| 1 | 0.09 |
| 2 | 0.00 |
| 3 | 0.00 |
| 4 | 2.66 |
| 5 | 0.00 |
| 6 | 6.51 |
| 7 | 0.00 |
| 8 | 0.00 |